## MgInCu (PBE-GGA)

Data for crystalline MgInCu at its relaxed geometry.

As for the uncorrected energy: -34.57 eV per cell. As for the spin magnetization: 0.0 μB per cell.

Unit cell a=4.312 b=6.450 c=8.727 alpha=90.00 beta=90.00 gamma=90.00
Positions (direct):
In 0.250 0.257 0.352
In 0.750 0.743 0.648
In 0.250 0.243 0.852
In 0.750 0.757 0.148
Mg 0.250 0.788 0.387
Mg 0.750 0.212 0.613
Mg 0.750 0.288 0.113
Mg 0.250 0.712 0.887
Cu 0.250 0.011 0.104
Cu 0.750 0.511 0.396
Cu 0.250 0.489 0.604
Cu 0.750 0.989 0.896



## Mg3InCu (PBE-GGA)

Data for crystalline Mg3InCu at its relaxed geometry.

As for the spin magnetization: 0.0 μB per cell. Its energy above the most stable polymorph in this dataset is 73.0 kJ/mol of formula units.

Unit cell a=4.936 b=4.936 c=4.936 alpha=90.00 beta=90.00 gamma=90.00
Positions (direct):
Mg 0.000 0.500 0.000
Mg 0.000 0.000 0.500
Mg 0.500 0.000 0.000
Cu 0.000 0.000 0.000
In 0.500 0.500 0.500



## MgIn4Cu (PBE-GGA)

Data for crystalline MgIn4Cu at its relaxed geometry.

As for the spin magnetization: 0.0 μB per cell. Its energy above the most stable polymorph in this dataset is 216.2 kJ/mol of formula units.

Unit cell a=6.046 b=6.046 c=6.046 alpha=60.00 beta=60.00 gamma=60.00
Positions (direct):
In 0.375 0.375 0.375
In 0.375 0.375 0.876
In 0.375 0.876 0.375
In 0.876 0.375 0.375
Cu 0.000 0.000 0.000
Mg 0.750 0.750 0.750



## Mg3InCu8 (PBE-GGA)

Data for crystalline Mg3InCu8 at its relaxed geometry.

As for the spin magnetization: 0.0 μB per cell. Its energy above the most stable polymorph in this dataset is 3.1 kJ/mol of formula units.

Unit cell a=5.033 b=5.033 c=8.012 alpha=90.00 beta=90.00 gamma=120.00
Positions (direct):
Cu 0.503 0.497 0.751
Cu 0.503 0.005 0.751
Cu 0.333 0.667 0.498
Cu 0.672 0.836 0.248
Cu 0.333 0.667 0.001
Cu 0.164 0.328 0.248
Cu 0.995 0.497 0.751
Cu 0.164 0.836 0.248
In 0.000 0.000 0.564
Mg 0.667 0.333 0.060
Mg 0.000 0.000 0.938
Mg 0.667 0.333 0.439